Entry 1:
DFT (PBE) results for a geometry-optimized CsNa2SI structure.

Structure (CIF):
```
data_CsNa2SI
_cell_length_a 5.397
_cell_length_b 5.397
_cell_length_c 6.942
_cell_angle_alpha 90.00
_cell_angle_beta 90.00
_cell_angle_gamma 90.00
_symmetry_space_group_name_H-M 'P 4/m m m'
_symmetry_Int_Tables_number 123
_symmetry_space_group_name_Hall '-P 4 2'
loop_
_atom_site_label
_atom_site_type_symbol
_atom_site_fract_x
_atom_site_fract_y
_atom_site_fract_z
Cs1 Cs 0.000 0.000 0.000
Na1 Na 0.000 0.500 0.500
S1 S 0.000 0.000 0.500
I1 I 0.500 0.500 0.000
```

Entry 2:
DFT (PBE) results for a geometry-optimized CsNaSb2I structure.

Structure (CIF):
```
data_CsNaSb2I
_cell_length_a 6.595
_cell_length_b 6.595
_cell_length_c 7.095
_cell_angle_alpha 90.00
_cell_angle_beta 90.00
_cell_angle_gamma 90.00
_symmetry_space_group_name_H-M 'P 4/m m m'
_symmetry_Int_Tables_number 123
_symmetry_space_group_name_Hall '-P 4 2'
loop_
_atom_site_label
_atom_site_type_symbol
_atom_site_fract_x
_atom_site_fract_y
_atom_site_fract_z
Cs1 Cs 0.000 0.000 0.000
Na1 Na 0.500 0.500 0.500
Sb1 Sb 0.000 0.500 0.000
I1 I 0.000 0.000 0.500
```

Energy above the lowest structure with this stoichiometry in kcal/mol of atoms: 13.41

Entry 3:
DFT (PBE) results for a geometry-optimized Cs2NaSbI6 structure.

Structure (CIF):
```
data_Cs2NaSbI6
_cell_length_a 12.397
_cell_length_b 12.397
_cell_length_c 12.397
_cell_angle_alpha 90.00
_cell_angle_beta 90.00
_cell_angle_gamma 90.00
_symmetry_space_group_name_H-M 'F m -3 m'
_symmetry_Int_Tables_number 225
_symmetry_space_group_name_Hall '-F 4 2 3'
loop_
_atom_site_label
_atom_site_type_symbol
_atom_site_fract_x
_atom_site_fract_y
_atom_site_fract_z
Cs1 Cs 0.250 0.250 0.250
Na1 Na 0.000 0.000 0.000
Sb1 Sb 0.000 0.000 0.500
I1 I 0.000 0.000 0.256
```

Energy above the lowest structure with this stoichiometry in kcal/mol of atoms: 0.26

Entry 4:
DFT (PBE) results for a geometry-optimized CsNaSb2I structure.

Structure (CIF):
```
data_CsNaSb2I
_cell_length_a 6.064
_cell_length_b 6.064
_cell_length_c 6.683
_cell_angle_alpha 90.00
_cell_angle_beta 90.00
_cell_angle_gamma 90.00
_symmetry_space_group_name_H-M 'P 4/m m m'
_symmetry_Int_Tables_number 123
_symmetry_space_group_name_Hall '-P 4 2'
loop_
_atom_site_label
_atom_site_type_symbol
_atom_site_fract_x
_atom_site_fract_y
_atom_site_fract_z
Cs1 Cs 0.000 0.000 0.000
Na1 Na 0.500 0.500 0.000
Sb1 Sb 0.000 0.500 0.500
I1 I 0.000 0.000 0.500
```

Energy above the lowest structure with this stoichiometry in kcal/mol of atoms: 5.52

Entry 5:
DFT (PBE) results for a geometry-optimized CsNaSb2I structure.

Structure (CIF):
```
data_CsNaSb2I
_cell_length_a 5.713
_cell_length_b 5.713
_cell_length_c 6.654
_cell_angle_alpha 90.00
_cell_angle_beta 90.00
_cell_angle_gamma 90.00
_symmetry_space_group_name_H-M 'P 4/m m m'
_symmetry_Int_Tables_number 123
_symmetry_space_group_name_Hall '-P 4 2'
loop_
_atom_site_label
_atom_site_type_symbol
_atom_site_fract_x
_atom_site_fract_y
_atom_site_fract_z
Cs1 Cs 0.000 0.000 0.000
Na1 Na 0.500 0.500 0.500
Sb1 Sb 0.000 0.500 0.500
I1 I 0.500 0.500 0.000
```

Energy above the lowest structure with this stoichiometry in kcal/mol of atoms: 0.00

Entry 6:
DFT (PBE) results for a geometry-optimized Cs2NaSbI6 structure.

Structure (CIF):
```
data_Cs2NaSbI6
_cell_length_a 8.643
_cell_length_b 8.814
_cell_length_c 15.107
_cell_angle_alpha 90.00
_cell_angle_beta 124.73
_cell_angle_gamma 90.00
_symmetry_space_group_name_H-M 'P 1 21/c 1'
_symmetry_Int_Tables_number 14
loop_
_symmetry_equiv_pos_as_xyz
'x,y,z'
'-x,-y,-z'
'-x,y+1/2,-z+1/2'
'x,-y+1/2,z+1/2'
loop_
_atom_site_label
_atom_site_type_symbol
_atom_site_fract_x
_atom_site_fract_y
_atom_site_fract_z
Cs1 Cs 0.233 0.059 0.250
Na1 Na 0.000 0.000 0.500
Sb1 Sb 0.500 0.000 0.000
I1 I 0.181 0.199 0.966
I2 I 0.275 0.714 0.972
I3 I 0.321 0.502 0.258
```

Energy above the lowest structure with this stoichiometry in kcal/mol of atoms: 0.00

Entry 7:
DFT (PBE) results for a geometry-optimized CsNaScI5 structure.

Structure (CIF):
```
data_CsNaScI5
_cell_length_a 9.752
_cell_length_b 14.523
_cell_length_c 11.231
_cell_angle_alpha 90.00
_cell_angle_beta 107.51
_cell_angle_gamma 90.00
_symmetry_space_group_name_H-M 'C 1 2/c 1'
_symmetry_Int_Tables_number 15
loop_
_symmetry_equiv_pos_as_xyz
'x,y,z'
'-x,-y,-z'
'-x,y,-z+1/2'
'x,-y,z+1/2'
'x+1/2,y+1/2,z'
'-x+1/2,-y+1/2,-z'
'-x+1/2,y+1/2,-z+1/2'
'x+1/2,-y+1/2,z+1/2'
loop_
_atom_site_label
_atom_site_type_symbol
_atom_site_fract_x
_atom_site_fract_y
_atom_site_fract_z
Cs1 Cs 0.000 0.160 0.250
Na1 Na 0.000 0.179 0.750
Sc1 Sc 0.000 0.500 0.000
I1 I 0.000 0.437 0.250
I2 I 0.092 0.315 0.580
I3 I 0.201 0.054 0.952
```

Entry 8:
DFT (PBE) results for a geometry-optimized CsNaSc2I8 structure.

Structure (CIF):
```
data_CsNaSc2I8
_cell_length_a 7.7976
_cell_length_b 7.7976
_cell_length_c 33.2578
_cell_angle_alpha 90.00
_cell_angle_beta 90.00
_cell_angle_gamma 120.00
_symmetry_space_group_name_H-M 'R -3'
_symmetry_Int_Tables_number 148
_symmetry_space_group_name_Hall '-R 3'
loop_
_atom_site_label
_atom_site_type_symbol
_atom_site_fract_x
_atom_site_fract_y
_atom_site_fract_z
Cs1 Cs 0.0000 0.0000 0.0000
Na1 Na 0.0000 0.0000 0.5000
Sc1 Sc 0.0000 0.0000 0.2493
I1 I 0.0000 0.0000 0.3308
I2 I 0.0045 0.3255 0.8920
```

Entry 9:
DFT (PBE) results for a geometry-optimized CsNaSm2I8 structure.

Structure (CIF):
```
data_CsNaSm2I8
_cell_length_a 8.2048
_cell_length_b 8.2048
_cell_length_c 9.5813
_cell_angle_alpha 90.00
_cell_angle_beta 90.00
_cell_angle_gamma 120.00
_symmetry_space_group_name_H-M 'P -3'
_symmetry_Int_Tables_number 147
loop_
_symmetry_equiv_pos_as_xyz
'x,y,z'
'-x,-y,-z'
'-y,x-y,z'
'y,-x+y,-z'
'-x+y,-x,z'
'x-y,x,-z'
loop_
_atom_site_label
_atom_site_type_symbol
_atom_site_fract_x
_atom_site_fract_y
_atom_site_fract_z
Cs1 Cs 0.0000 0.0000 0.0000
Na1 Na 0.0000 0.0000 0.5000
Sm1 Sm 0.3333 0.6667 0.4086
I1 I 0.0635 0.3732 0.6536
I2 I 0.3333 0.6667 0.0938
```

Entry 10:
DFT (PBE) results for a geometry-optimized CsNa2SmI6 structure.

Structure (CIF):
```
data_CsNa2SmI6
_cell_length_a 8.3191
_cell_length_b 8.3191
_cell_length_c 23.1119
_cell_angle_alpha 90.00
_cell_angle_beta 90.00
_cell_angle_gamma 120.00
_symmetry_space_group_name_H-M 'R 3'
_symmetry_Int_Tables_number 146
_symmetry_space_group_name_Hall 'R 3'
loop_
_atom_site_label
_atom_site_type_symbol
_atom_site_fract_x
_atom_site_fract_y
_atom_site_fract_z
Cs1 Cs 0.0000 0.0000 0.0000
Na1 Na 0.0000 0.0000 0.2804
Na2 Na 0.0000 0.0000 0.8005
Sm1 Sm 0.0000 0.0000 0.4709
I1 I 0.9997 0.3190 0.5415
I2 I 0.0136 0.5762 0.0497
```

Entry 11:
DFT (PBE) results for a geometry-optimized CsNa2Sn2I7 structure.

Structure (CIF):
```
data_CsNa2Sn2I7
_cell_length_a 6.382
_cell_length_b 25.563
_cell_length_c 6.416
_cell_angle_alpha 90.00
_cell_angle_beta 90.00
_cell_angle_gamma 90.00
_symmetry_space_group_name_H-M 'I m m 2'
_symmetry_Int_Tables_number 44
loop_
_symmetry_equiv_pos_as_xyz
'x,y,z'
'-x,-y,z'
'-x,y,z'
'x,-y,z'
'x+1/2,y+1/2,z+1/2'
'-x+1/2,-y+1/2,z+1/2'
'-x+1/2,y+1/2,z+1/2'
'x+1/2,-y+1/2,z+1/2'
loop_
_atom_site_label
_atom_site_type_symbol
_atom_site_fract_x
_atom_site_fract_y
_atom_site_fract_z
Cs1 Cs 0.000 0.000 0.000
Na1 Na 0.000 0.250 0.486
Sn1 Sn 0.000 0.378 0.998
I1 I 0.000 0.121 0.482
I2 I 0.000 0.253 0.986
I3 I 0.000 0.380 0.475
I4 I 0.000 0.500 0.974
```

Entry 12:
DFT (PBE) results for a geometry-optimized CsNaSn2I6 structure.

Structure (CIF):
```
data_CsNaSn2I6
_cell_length_a 8.475
_cell_length_b 8.479
_cell_length_c 8.946
_cell_angle_alpha 61.74
_cell_angle_beta 61.73
_cell_angle_gamma 60.03
_symmetry_space_group_name_H-M 'P 1'
_symmetry_Int_Tables_number 1
loop_
_symmetry_equiv_pos_as_xyz
'x,y,z'
loop_
_atom_site_label
_atom_site_type_symbol
_atom_site_fract_x
_atom_site_fract_y
_atom_site_fract_z
Cs1 Cs 0.000 0.000 0.000
Na1 Na 0.471 0.471 0.588
Sn1 Sn 0.270 0.271 0.188
Sn2 Sn 0.781 0.782 0.656
I1 I 0.046 0.472 0.882
I2 I 0.171 0.903 0.401
I3 I 0.471 0.600 0.882
I4 I 0.524 0.172 0.401
I5 I 0.599 0.047 0.882
I6 I 0.903 0.525 0.401
```

Entry 13:
DFT (PBE) results for a geometry-optimized Cs4NaSn3I12 structure.

Structure (CIF):
```
data_Cs4NaSn3I12
_cell_length_a 12.418
_cell_length_b 12.418
_cell_length_c 12.418
_cell_angle_alpha 90.00
_cell_angle_beta 90.00
_cell_angle_gamma 90.00
_symmetry_space_group_name_H-M 'I m -3 m'
_symmetry_Int_Tables_number 229
_symmetry_space_group_name_Hall '-I 4 2 3'
loop_
_atom_site_label
_atom_site_type_symbol
_atom_site_fract_x
_atom_site_fract_y
_atom_site_fract_z
Cs1 Cs 0.250 0.250 0.250
Na1 Na 0.000 0.000 0.000
Sn1 Sn 0.000 0.000 0.500
I1 I 0.000 0.000 0.254
I2 I 0.000 0.250 0.500
```

Entry 14:
DFT (PBE) results for a geometry-optimized CsNaSrI4 structure.

Structure (CIF):
```
data_CsNaSrI4
_cell_length_a 8.486
_cell_length_b 8.451
_cell_length_c 10.719
_cell_angle_alpha 90.00
_cell_angle_beta 110.26
_cell_angle_gamma 90.00
_symmetry_space_group_name_H-M 'P 1 21/m 1'
_symmetry_Int_Tables_number 11
loop_
_symmetry_equiv_pos_as_xyz
'x,y,z'
'-x,-y,-z'
'-x,y+1/2,-z'
'x,-y+1/2,z'
loop_
_atom_site_label
_atom_site_type_symbol
_atom_site_fract_x
_atom_site_fract_y
_atom_site_fract_z
Cs1 Cs 0.248 0.250 0.459
Na1 Na 0.248 0.750 0.166
Sr1 Sr 0.301 0.250 0.951
I1 I 0.023 0.250 0.098
I2 I 0.030 0.750 0.335
I3 I 0.478 0.504 0.796
```

Entry 15:
DFT (PBE) results for a geometry-optimized Cs2NaSrI6 structure.

Structure (CIF):
```
data_Cs2NaSrI6
_cell_length_a 12.687
_cell_length_b 12.687
_cell_length_c 12.687
_cell_angle_alpha 90.00
_cell_angle_beta 90.00
_cell_angle_gamma 90.00
_symmetry_space_group_name_H-M 'F m -3 m'
_symmetry_Int_Tables_number 225
_symmetry_space_group_name_Hall '-F 4 2 3'
loop_
_atom_site_label
_atom_site_type_symbol
_atom_site_fract_x
_atom_site_fract_y
_atom_site_fract_z
Cs1 Cs 0.250 0.250 0.250
Na1 Na 0.000 0.000 0.000
Sr1 Sr 0.000 0.000 0.500
I1 I 0.000 0.000 0.246
```

Entry 16:
DFT (PBE) results for a geometry-optimized CsNa3Sr4I12 structure.

Structure (CIF):
```
data_CsNa3Sr4I12
_cell_length_a 12.298
_cell_length_b 12.298
_cell_length_c 12.298
_cell_angle_alpha 90.00
_cell_angle_beta 90.00
_cell_angle_gamma 90.00
_symmetry_space_group_name_H-M 'I m -3'
_symmetry_Int_Tables_number 204
_symmetry_space_group_name_Hall '-I 2 2 3'
loop_
_atom_site_label
_atom_site_type_symbol
_atom_site_fract_x
_atom_site_fract_y
_atom_site_fract_z
Cs1 Cs 0.000 0.000 0.000
Na1 Na 0.000 0.000 0.500
Sr1 Sr 0.250 0.250 0.250
I1 I 0.000 0.175 0.309
```

Entry 17:
DFT (PBE) results for a geometry-optimized Cs2NaTaI6 structure.

Structure (CIF):
```
data_Cs2NaTaI6
_cell_length_a 12.048
_cell_length_b 12.048
_cell_length_c 12.048
_cell_angle_alpha 90.00
_cell_angle_beta 90.00
_cell_angle_gamma 90.00
_symmetry_space_group_name_H-M 'F m -3 m'
_symmetry_Int_Tables_number 225
_symmetry_space_group_name_Hall '-F 4 2 3'
loop_
_atom_site_label
_atom_site_type_symbol
_atom_site_fract_x
_atom_site_fract_y
_atom_site_fract_z
Cs1 Cs 0.250 0.250 0.250
Na1 Na 0.000 0.000 0.000
Ta1 Ta 0.000 0.000 0.500
I1 I 0.000 0.000 0.264
```

Entry 18:
DFT (PBE) results for a geometry-optimized CsNa2TbI6 structure.

Structure (CIF):
```
data_CsNa2TbI6
_cell_length_a 8.296
_cell_length_b 8.296
_cell_length_c 9.039
_cell_angle_alpha 62.69
_cell_angle_beta 62.69
_cell_angle_gamma 60.02
_symmetry_space_group_name_H-M 'P 1'
_symmetry_Int_Tables_number 1
loop_
_symmetry_equiv_pos_as_xyz
'x,y,z'
loop_
_atom_site_label
_atom_site_type_symbol
_atom_site_fract_x
_atom_site_fract_y
_atom_site_fract_z
Cs1 Cs 0.000 0.000 0.000
Na1 Na 0.197 0.199 0.406
Na2 Na 0.719 0.719 0.844
Tb1 Tb 0.528 0.529 0.414
I1 I 0.142 0.771 0.627
I2 I 0.384 0.528 0.156
I3 I 0.460 0.143 0.627
I4 I 0.527 0.932 0.156
I5 I 0.770 0.460 0.627
I6 I 0.932 0.384 0.156
```

Entry 19:
DFT (PBE) results for a geometry-optimized Cs3Na2TbI9 structure.

Structure (CIF):
```
data_Cs3Na2TbI9
_cell_length_a 8.6514
_cell_length_b 8.6514
_cell_length_c 11.0763
_cell_angle_alpha 90.00
_cell_angle_beta 90.00
_cell_angle_gamma 120.00
_symmetry_space_group_name_H-M 'P -3 m 1'
_symmetry_Int_Tables_number 164
_symmetry_space_group_name_Hall '-P 3 2"'
loop_
_atom_site_label
_atom_site_type_symbol
_atom_site_fract_x
_atom_site_fract_y
_atom_site_fract_z
Cs1 Cs 0.0000 0.0000 0.0000
Cs2 Cs 0.3333 0.6667 0.6775
Na1 Na 0.3333 0.6667 0.1675
Tb1 Tb 0.0000 0.0000 0.5000
I1 I 0.0000 0.5000 0.0000
I2 I 0.1643 0.3286 0.3410
```

Entry 20:
DFT (PBE) results for a geometry-optimized Cs2NaTcI structure.

Structure (CIF):
```
data_Cs2NaTcI
_cell_length_a 7.529
_cell_length_b 7.529
_cell_length_c 5.720
_cell_angle_alpha 90.00
_cell_angle_beta 90.00
_cell_angle_gamma 90.00
_symmetry_space_group_name_H-M 'P 4/m m m'
_symmetry_Int_Tables_number 123
_symmetry_space_group_name_Hall '-P 4 2'
loop_
_atom_site_label
_atom_site_type_symbol
_atom_site_fract_x
_atom_site_fract_y
_atom_site_fract_z
Cs1 Cs 0.000 0.500 0.000
Na1 Na 0.000 0.000 0.000
Tc1 Tc 0.500 0.500 0.500
I1 I 0.000 0.000 0.500
```

Entry 21:
DFT (PBE) results for a geometry-optimized CsNaTeI6 structure.

Structure (CIF):
```
data_CsNaTeI6
_cell_length_a 8.1263
_cell_length_b 8.1263
_cell_length_c 8.4840
_cell_angle_alpha 90.00
_cell_angle_beta 90.00
_cell_angle_gamma 120.00
_symmetry_space_group_name_H-M 'P 3 1 2'
_symmetry_Int_Tables_number 149
loop_
_symmetry_equiv_pos_as_xyz
'x,y,z'
'-y,x-y,z'
'-x+y,-x,z'
'-y,-x,-z'
'-x+y,y,-z'
'x,x-y,-z'
loop_
_atom_site_label
_atom_site_type_symbol
_atom_site_fract_x
_atom_site_fract_y
_atom_site_fract_z
Cs1 Cs 0.0000 0.0000 0.0000
Na1 Na 0.3333 0.6667 0.5000
Te1 Te 0.6667 0.3333 0.5000
I1 I 0.3829 0.0234 0.7057
```

Record-wise electronic total energy values, in eV per formula unit: -14.703, -9.145, -26.527, -10.857, -12.053, -26.639, -26.568, -42.112, -40.343, -31.176, -33.492, -27.965, -54.864, -20.434, -26.958, -60.703, -33.572, -31.032, -43.113, -11.158, -20.724
Record-wise formation energy (no corrections) values, in eV per atom: -1.11, 0.56, -1.01, 0.22, -0.02, -1.02, -1.29, -1.24, -1.36, -1.37, -0.93, -0.85, -0.98, -1.48, -1.29, -1.53, -0.94, -1.36, -1.29, 0.76, -0.68